No. 1
A relaxed BeReRh crystal. Source: Alexandria, functional PBE.

Cell lengths 3.918, 2.712, 13.999 Å; angles 90.00, 90.00, 90.00 degrees
Space group Amm2 (No. 38)
Unique sites:
Be (0.000, 0.000, 0.000) [2 per cell]
Be (0.500, 0.000, 0.081) [2 per cell]
Re (0.500, 0.000, 0.250) [2 per cell]
Re (0.500, 0.000, 0.437) [2 per cell]
Rh (0.000, 0.000, 0.638) [2 per cell]
Rh (0.000, 0.000, 0.834) [2 per cell]

Spin magnetization in μB per formula unit: 0.000
Energy of formation from the pure elements in eV/atom: -0.18
Crystal system: orthorhombic
Offset from the most stable computed form in eV per atom: 0.099
DOS(E_F) in states/eV/atom: 0.744

No. 2
A relaxed KTiSn2 crystal. Source: Alexandria, functional PBE.

Cell lengths 3.689, 3.689, 8.006 Å; angles 90.00, 90.00, 90.00 degrees
Space group P4/mmm (No. 123)
Unique sites:
K (0.000, 0.000, 0.000) [1 per cell]
Ti (0.000, 0.000, 0.500) [1 per cell]
Sn (0.500, 0.500, 0.319) [2 per cell]

Spin magnetization in μB per formula unit: 0.790
Energy of formation from the pure elements in eV/atom: -0.12
Crystal system: tetragonal
Offset from the most stable computed form in eV per atom: 0.000
DOS(E_F) in states/eV/atom: 1.091

No. 3
A relaxed KTc4Sb12 crystal. Source: Alexandria, functional PBE.

Cell lengths 9.531, 9.531, 9.531 Å; angles 90.00, 90.00, 90.00 degrees
Space group Im-3 (No. 204)
Unique sites:
K (0.000, 0.000, 0.000) [2 per cell]
Tc (0.250, 0.250, 0.250) [8 per cell]
Sb (0.000, 0.160, 0.341) [24 per cell]

Spin magnetization in μB per formula unit: 1.839
Crystal system: cubic
DOS(E_F) in states/eV/atom: 1.035
ΔE_f (raw) in eV per atom: -0.004